No. 1
Material: LiPbF2
Method: DFT, PBEsol
State: relaxed

Cell and atoms, written as POSCAR:
```
LiPbF2
1.0
3.320 0.000 0.000
1.660 2.875 0.000
1.660 0.958 7.370
F Li Pb
2 1 1
Direct
0.924 0.924 0.229
0.076 0.076 0.771
0.000 0.000 0.000
0.500 0.500 0.500
```

Computed properties:
The formation energy from raw total energies is -1.94 eV per atom. For the total energy, the calculation gives -4.392 eV/atom. The magnetization comes out at 0.0 Bohr magnetons per cell. For the density, the calculation gives 5953 kg/m3.

No. 2
Material: LiPbF3
Method: DFT, PBEsol
State: relaxed

Cell and atoms, written as POSCAR:
```
LiPbF3
1.0
3.852 0.000 0.000
0.000 3.852 0.000
0.000 0.000 3.852
Pb F Li
1 3 1
Direct
0.500 0.500 0.500
0.000 0.500 0.000
0.000 0.000 0.500
0.500 0.000 0.000
0.000 0.000 0.000
```

Computed properties:
The formation energy from raw total energies is -2.57 eV per atom. For the total energy, the calculation gives -4.917 eV/atom. The magnetization comes out at 0.0 Bohr magnetons per cell. For the density, the calculation gives 7877 kg/m3.